1.
# Nd4YPd4

Crystalline Nd4YPd4 at its relaxed geometry (PBE, the Alexandria database).

Unit cell a=9.0531 b=9.0531 c=6.0306 alpha=90.00 beta=90.00 gamma=90.00
With the nearest neighbours (Å) after each atom.
Space group P4_2/n (No. 86, origin choice 2)
Unique sites:
Nd 0.0591 0.6624 0.1557  5 Pd 2.88-3.09
Y 0.2500 0.2500 0.2500  4 Pd 2.80
Pd 0.0273 0.6315 0.6475  1 Y 2.80, 5 Nd 2.88-3.09, 1 Pd 3.01

Properties
* total magnetization: 0.00 μB per formula unit
* E: -5.74 eV per atom


2.
# ZrCdInAg

Crystalline ZrCdInAg at its relaxed geometry (PBE, the Alexandria database).

Unit cell a=4.2644 b=4.2798 c=4.6194 alpha=90.00 beta=90.00 gamma=90.00
With the nearest neighbours (Å) after each atom.
Space group Pmmm (No. 47)
Unique sites:
Zr 0.0000 0.0000 0.0000  4 In 3.02, 4 Cd 3.14, 4 Ag 3.15
Cd 0.5000 0.0000 0.5000  4 Ag 3.02, 4 Zr 3.14, 4 In 3.15
In 0.5000 0.5000 0.0000  4 Zr 3.02, 4 Ag 3.14, 4 Cd 3.15
Ag 0.0000 0.5000 0.5000  4 Cd 3.02, 4 In 3.14, 4 Zr 3.15

Properties
* total magnetization: 0.00 μB per formula unit
* energy above the lowest structure with this stoichiometry: 0.00 eV/f.u.


3.
# Dy3CdIr8

Crystalline Dy3CdIr8 at its relaxed geometry (PBE, the Alexandria database).

Unit cell a=5.3373 b=5.3373 c=26.1842 alpha=90.00 beta=90.00 gamma=120.00
With the nearest neighbours (Å) after each atom.
Space group R3m (No. 160, hexagonal axes)
Unique sites:
Dy 0.0000 0.0000 0.0000  12 Ir 3.06-3.18, 3 Cd 3.23, 1 Dy 3.35
Dy 0.0000 0.0000 0.1278  12 Ir 3.12-3.14, 4 Dy 3.31-3.35
Dy 0.0000 0.0000 0.5073  12 Ir 3.08-3.22, 1 Cd 3.21, 3 Dy 3.31
Cd 0.0000 0.0000 0.6300  12 Ir 3.10-3.16, 4 Dy 3.21-3.23
Ir 0.0000 0.0000 0.3158  6 Ir 2.67
Ir 0.0000 0.0000 0.8158  6 Ir 2.67
Ir 0.0004 0.5002 0.0660  6 Ir 2.67
Ir 0.1671 0.3342 0.8990  6 Ir 2.66-2.68

Properties
* total magnetization: 0.00 μB per formula unit
* E: -7.73 eV per atom


Ρ, respectively: 7.33, 8.40, 16.48 Mg/m³.